Entry 1:
Density functional theory data (PBE-GGA) for a geometry-optimized K3Cr2Cl9 structure.

Theoretical density: 2.48 Mg/m³
Energy relative to the elements, uncorrected: -1.4601 eV/atom
Magnetization: 6.00 μB per cell

Lattice parameters (Å, degrees): 6.941 6.941 8.659 90.00 90.00 120.00
Each line ends with the local moment (μB).
Atoms (fractional coordinates):
K1 0.667 0.333 0.649  0.00
K2 0.000 0.000 0.000  0.00
K3 0.333 0.667 0.351  0.00
Cr1 0.667 0.333 0.172  2.85
Cr2 0.333 0.667 0.828  2.85
Cl1 0.175 0.825 0.683  -0.02
Cl2 0.175 0.351 0.683  -0.02
Cl3 0.500 0.500 0.000  -0.01
Cl4 0.825 0.649 0.317  -0.02
Cl5 0.351 0.175 0.317  -0.02
Cl6 0.649 0.825 0.683  -0.02
Cl7 0.825 0.175 0.317  -0.02
Cl8 0.000 0.500 0.000  -0.01
Cl9 0.500 0.000 0.000  -0.01

Entry 2:
Density functional theory data (PBE-GGA) for a geometry-optimized KTlCu2Cl6 structure.

Theoretical density: 3.24 Mg/m³
Density of states at the Fermi level: 9.48 states/eV/cell
Energy relative to the elements, uncorrected: -0.8727 eV/atom
Magnetization: 0.13 μB per cell

Lattice parameters (Å, degrees): 6.985 6.983 8.147 90.07 115.44 119.94
Each line ends with the local moment (μB).
Atoms (fractional coordinates):
K1 0.996 0.498 0.480  0.00
Tl1 0.997 0.998 0.980  -0.01
Cu1 0.473 0.736 0.194  0.05
Cu2 0.520 0.260 0.766  0.05
Cl1 0.539 0.954 0.756  0.00
Cl2 0.454 0.041 0.204  0.00
Cl3 0.808 0.765 0.205  0.00
Cl4 0.178 0.412 0.205  0.00
Cl5 0.815 0.584 0.756  0.00
Cl6 0.185 0.231 0.756  0.00

Copy entry 1 word for word.
Density functional theory data (PBE-GGA) for a geometry-optimized K3Cr2Cl9 structure.

Theoretical density: 2.48 Mg/m³
Energy relative to the elements, uncorrected: -1.4601 eV/atom
Magnetization: 6.00 μB per cell

Lattice parameters (Å, degrees): 6.941 6.941 8.659 90.00 90.00 120.00
Each line ends with the local moment (μB).
Atoms (fractional coordinates):
K1 0.667 0.333 0.649  0.00
K2 0.000 0.000 0.000  0.00
K3 0.333 0.667 0.351  0.00
Cr1 0.667 0.333 0.172  2.85
Cr2 0.333 0.667 0.828  2.85
Cl1 0.175 0.825 0.683  -0.02
Cl2 0.175 0.351 0.683  -0.02
Cl3 0.500 0.500 0.000  -0.01
Cl4 0.825 0.649 0.317  -0.02
Cl5 0.351 0.175 0.317  -0.02
Cl6 0.649 0.825 0.683  -0.02
Cl7 0.825 0.175 0.317  -0.02
Cl8 0.000 0.500 0.000  -0.01
Cl9 0.500 0.000 0.000  -0.01

Number 2 is which compound? KTlCu2Cl6

What is the theoretical density in the first record? 2.48 Mg/m³